Material: CoCu4Pt5
Method: DFT, GGA-PBE
State: relaxed

Properties
Theoretical density = 15.464 g cm⁻³
Energy of formation from the pure elements = -139 meV/atom
Total magnetic moment = 2.8 μB per cell

Cell lengths 2.771, 2.771, 18.014 Å; angles 90.00, 90.00, 90.00 degrees
Space group P4/mmm (No. 123)
One atom of each set of equivalent atoms:
Co 0.000 0.000 0.000 [1 per cell]
Cu 0.000 0.000 0.200 [2 per cell]
Cu 0.000 0.000 0.400 [2 per cell]
Pt 0.500 0.500 0.098 [2 per cell]
Pt 0.500 0.500 0.300 [2 per cell]
Pt 0.500 0.500 0.500 [1 per cell]

---

Material: SrLiPdO3
Method: DFT, GGA-PBE
State: relaxed

Properties
Theoretical density = 5.212 g cm⁻³
Energy relative to the elements, uncorrected = -1.435 eV/atom
Total magnetic moment = 4.1 μB per cell

Cell lengths 5.426, 10.398, 5.624 Å; angles 90.00, 90.00, 90.00 degrees
Space group Cmcm (No. 63)
One atom of each set of equivalent atoms:
Sr 0.000 0.202 0.250 [4 per cell]
Li 0.000 0.082 0.750 [4 per cell]
Pd 0.000 0.482 0.750 [4 per cell]
O 0.000 0.263 0.750 [4 per cell]
O 0.232 0.000 0.000 [8 per cell]

---

Material: Hf2ZrPtI
Method: DFT, GGA-PBE
State: relaxed

Properties
Theoretical density = 9.086 g cm⁻³
Energy relative to the elements, uncorrected = 1.012 eV/atom
Total magnetic moment = 0.0 μB per cell

Cell lengths 5.369, 5.369, 4.883 Å; angles 90.00, 90.00, 90.00 degrees
Space group P4/mmm (No. 123)
One atom of each set of equivalent atoms:
Hf 0.000 0.500 0.000 [2 per cell]
Zr 0.000 0.000 0.000 [1 per cell]
Pt 0.000 0.000 0.500 [1 per cell]
I 0.500 0.500 0.500 [1 per cell]

---

Material: La2Ru
Method: DFT, GGA-PBE
State: relaxed

Properties
Theoretical density = 6.427 g cm⁻³
Energy of formation from the pure elements = -241 meV/atom
Total magnetic moment = 0.0 μB per cell

Cell lengths 4.1700, 4.1700, 6.5008 Å; angles 90.00, 90.00, 120.00 degrees
Space group P-3m1 (No. 164)
One atom of each set of equivalent atoms:
La 0.3333 0.6667 0.2698 [2 per cell]
Ru 0.0000 0.0000 0.5000 [1 per cell]